NaTiSbO5 | PBE | relaxed

Cell lengths 5.800, 5.800, 7.398 Å; angles 104.08, 104.08, 105.98 degrees
Element x y z (fractional)
Na  0.328  0.672  0.250
Na  0.672  0.328  0.750
Ti  0.681  0.319  0.250
Ti  0.319  0.681  0.750
Sb  0.000  0.000  0.500
Sb  0.000  0.000  0.000
O  0.077  0.923  0.250
O  0.923  0.077  0.750
O  0.900  0.297  0.110
O  0.100  0.703  0.890
O  0.703  0.100  0.390
O  0.297  0.900  0.610
O  0.759  0.640  0.415
O  0.241  0.360  0.585
O  0.360  0.241  0.085
O  0.640  0.759  0.915

SG   C2/c, No. 15
Magnetization   0.0 μB/cell
DOS at the Fermi energy   0.00 states/eV/f.u.
Final energy   -110.5 eV/cell

LaMnCd | PBE | relaxed

Cell lengths 4.868, 4.868, 4.868 Å; angles 60.00, 60.00, 60.00 degrees
Element x y z (fractional)
Cd  0.000  0.000  0.000
La  0.500  0.500  0.500
Mn  0.750  0.750  0.750

SG   F-43m, No. 216
Magnetization   3.9 μB/cell
DOS at the Fermi energy   3.40 states/eV/f.u.
Final energy   -14.2 eV/cell
DFT formation energy   0.263 eV per atom

BaCdHg2Pb | PBE | relaxed

Cell lengths 6.172, 6.335, 6.172 Å; angles 90.00, 90.00, 90.00 degrees
Element x y z (fractional)
Pb  0.500  0.500  0.500
Cd  0.000  0.500  0.000
Hg  0.000  0.000  0.500
Hg  0.500  0.000  0.000
Ba  0.000  0.000  0.000

SG   P4/mmm, No. 123
ΔE to the lowest computed polymorph   858 meV/atom
Magnetization   0.0 μB/cell
DOS at the Fermi energy   6.71 states/eV/f.u.
Final energy   -4.5 eV/cell
DFT formation energy   0.520 eV per atom

ZrTl3Ga | PBE | relaxed

Cell lengths 5.669, 5.669, 5.669 Å; angles 90.00, 90.00, 90.00 degrees
Element x y z (fractional)
Tl  0.000  0.500  0.000
Tl  0.000  0.000  0.500
Tl  0.500  0.000  0.000
Ga  0.500  0.500  0.500
Zr  0.000  0.000  0.000

SG   Pm-3m, No. 221
ΔE to the lowest computed polymorph   0 meV/atom
Magnetization   0.0 μB/cell
DOS at the Fermi energy   3.92 states/eV/f.u.
Final energy   -15.9 eV/cell
DFT formation energy   0.552 eV per atom